Density functional theory data (PBE-GGA) for an optimized crystal structure of Nd2Sm2B2Cl5.

Calculated values
The calculation puts the final energy at -5.259 eV per atom. Its crystal system is monoclinic.

POSCAR file:
```
Nd2Sm2B2Cl5
1.0
9.9663 -1.9816 0.0000
9.9663 1.9816 0.0000
-3.0741 0.0000 7.2332
Nd Sm B Cl
2 2 2 5
Direct
0.0000 0.0000 0.2161
0.0000 0.0000 0.7839
0.3286 0.3286 0.8294
0.6714 0.6714 0.1706
0.4572 0.4572 0.9574
0.5428 0.5428 0.0426
0.1699 0.1699 0.4232
0.1700 0.1700 0.9146
0.5000 0.5000 0.5000
0.8300 0.8300 0.0854
0.8301 0.8301 0.5768
```